CaHfPdAu | the Alexandria database | GGA-PBE | relaxed; theoretical density = 10.61 g/cm³; total moment = 0.0 Bohr magnetons per cell; energy = -5.610 eV/atom
1.0
4.871 0.000 0.000
2.435 4.218 0.000
2.435 1.406 3.977
Hf Ca Au Pd
1 1 1 1
Direct
0.250 0.250 0.250 Hf
0.750 0.750 0.750 Ca
0.500 0.500 0.500 Au
0.000 0.000 0.000 Pd